(1)
TlPtCl2 | PBE | relaxed

The space group is Cmm2 (No. 35) and the conventional cell measures 3.7237, 6.9889 and 8.6777 Å, with angles of 90.00, 90.00 and 90.00 degrees. Symmetry generates all atoms from Tl at (0.0000, 0.0000, 0.0000), Pt at (0.0000, 0.5000, 0.7743), Cl at (0.0000, 0.0000, 0.5971) and Cl at (0.0000, 0.5000, 0.2231).

***

(2)
TlPt3Cl | PBE | relaxed

The space group is Pm-3m (No. 221) and the conventional cell measures 4.6790, 4.6790 and 4.6790 Å, with angles of 90.00, 90.00 and 90.00 degrees. Symmetry generates all atoms from Tl at (0.0000, 0.0000, 0.0000), Pt at (0.0000, 0.5000, 0.5000) and Cl at (0.5000, 0.5000, 0.5000).

***

(3)
TlPt2Cl2 | PBE | relaxed

The space group is P4/mbm (No. 127) and the conventional cell measures 8.5283, 8.5283 and 3.2087 Å, with angles of 90.00, 90.00 and 90.00 degrees. Symmetry generates all atoms from Tl at (0.0000, 0.0000, 0.0000), Pt at (0.1026, 0.3975, 0.0000) and Cl at (0.2497, 0.2503, 0.5000).

***

(4)
TlPt2Cl | PBE | relaxed

The space group is R-3m (No. 166, hexagonal axes) and the conventional cell measures 3.2960, 3.2960 and 24.3187 Å, with angles of 90.00, 90.00 and 120.00 degrees. Symmetry generates all atoms from Tl at (0.0000, 0.0000, 0.0000), Pt at (0.0000, 0.0000, 0.2499) and Cl at (0.0000, 0.0000, 0.5000).

***

It is found that the total magnetic moment values, taken in the order of the records, are 1.8 0.0 0.0 0.0 μB/cell.
It is found that the energy relative to the elements, uncorrected values, taken in the order of the records, are -0.08 0.83 0.18 0.29 eV/atom.